No. 1
First-principles (PBE) data for a relaxed CeTa3Tl2O12 crystal, as listed in the Alexandria database.

a = 6.9276 Å, b = 6.9276 Å, c = 6.9276 Å
α = 66.65°, β = 66.65°, γ = 66.65°
Last column: nearest neighbours and their distance in Å.
Positions (direct):
O: 0.4080 0.8613 0.8613  1 Ta 1.99, 1 Tl 2.21
O: 0.1387 0.5920 0.1387  1 Ta 1.99, 1 Tl 2.21
O: 0.8613 0.8613 0.4080  1 Ta 1.99, 1 Tl 2.21
Ta: 0.5000 0.0000 0.0000  6 O 1.98-1.99
Ta: 0.0000 0.5000 0.0000  6 O 1.98-1.99
O: 0.0895 0.7349 0.7349  2 Ta 1.98
O: 0.7349 0.0895 0.7349  2 Ta 1.98
Tl: 0.3492 0.3492 0.3492  3 O 2.21
O: 0.7349 0.7349 0.0895  2 Ta 1.98
O: 0.2651 0.9105 0.2651  2 Ta 1.98
Ce: 0.0000 0.0000 0.0000  6 O 2.50
O: 0.8613 0.4080 0.8613  1 Ta 1.99, 1 Tl 2.21
Tl: 0.6508 0.6508 0.6508  3 O 2.21
Ta: 0.0000 0.0000 0.5000  6 O 1.98-1.99
O: 0.2651 0.2651 0.9105  2 Ta 1.98
O: 0.5920 0.1387 0.1387  1 Ta 1.99, 1 Tl 2.21
O: 0.1387 0.1387 0.5920  1 Ta 1.99, 1 Tl 2.21
O: 0.9105 0.2651 0.2651  2 Ta 1.98



No. 2
First-principles (PBE) data for a relaxed Ce2TaTlO8 crystal, as listed in the Alexandria database.

a = 4.9718 Å, b = 4.9726 Å, c = 7.1767 Å
α = 89.96°, β = 89.96°, γ = 91.84°
Last column: nearest neighbours and their distance in Å.
Positions (direct):
Ce: 0.4988 0.4988 0.7560  6 O 2.24-2.28
O: 0.8133 0.1895 0.7907  1 Ta 2.02, 1 Ce 2.24
Tl: 0.0000 0.0000 0.5000  2 O 2.11
O: 0.1888 0.8126 0.7907  1 Ta 2.02, 1 Ce 2.24
O: 0.3050 0.3042 0.4993  1 Tl 2.11, 2 Ce 2.28
O: 0.7075 0.7083 0.9991  1 Ta 2.02
O: 0.8112 0.1874 0.2093  1 Ta 2.02, 1 Ce 2.24
O: 0.2925 0.2917 0.0009  1 Ta 2.02
O: 0.6950 0.6958 0.5007  1 Tl 2.11, 2 Ce 2.28
O: 0.1867 0.8105 0.2093  1 Ta 2.02, 1 Ce 2.24
Ta: 0.0000 0.0000 0.0000  6 O 2.02
Ce: 0.5012 0.5012 0.2440  6 O 2.24-2.28



No. 3
First-principles (PBE) data for a relaxed CeTm2TaO8 crystal, as listed in the Alexandria database.

a = 5.0006 Å, b = 5.0002 Å, c = 6.8533 Å
α = 90.00°, β = 90.00°, γ = 91.10°
Last column: nearest neighbours and their distance in Å.
Positions (direct):
Ce: 0.0000 0.0000 0.5000  6 O 2.14-2.34
O: 0.2868 0.2855 0.0000  1 Ta 2.00, 2 Tm 2.24
O: 0.1858 0.8129 0.2200  1 Ta 2.01, 1 Tm 2.24
O: 0.3068 0.3054 0.5000  1 Ce 2.14, 2 Tm 2.22
O: 0.1858 0.8129 0.7800  1 Ta 2.01, 1 Tm 2.24
Ta: 0.0000 0.0000 0.0000  6 O 2.00-2.01
O: 0.8142 0.1871 0.2200  1 Ta 2.01, 1 Tm 2.24
Tm: 0.5000 0.5000 0.7572  6 O 2.22-2.24
O: 0.6932 0.6946 0.5000  1 Ce 2.14, 2 Tm 2.22
O: 0.8142 0.1871 0.7800  1 Ta 2.01, 1 Tm 2.24
Tm: 0.5000 0.5000 0.2428  6 O 2.22-2.24
O: 0.7132 0.7145 0.0000  1 Ta 2.00, 2 Tm 2.24



Formation energy (no corrections) (computed, meV per atom): -2206, -2603, -3139
Calculated volume (computed, Å³/cell): 268.7, 177.3, 171.3
E (computed, eV per atom): -8.079, -8.083, -8.672